No. 1
Below is a relaxed Li5HfO4 crystal, with properties calculated at the PBE level.

Computed properties:
The value obtained for the total energy is -60.3 eV for the cell shown. The value obtained for the magnetic moment is 0.0 μB/cell.

Geometry as POSCAR:
```
Li5HfO4
1.0
5.289 0.000 0.000
0.000 3.082 0.000
-0.148 0.000 5.456
Li O Hf
5 4 1
Direct
0.650 0.500 0.356 Li
0.350 0.500 0.644 Li
0.000 0.000 0.500 Li
0.616 0.000 0.822 Li
0.384 0.000 0.178 Li
0.239 0.500 0.314 O
0.251 0.000 0.827 O
0.761 0.500 0.686 O
0.749 0.000 0.173 O
0.000 0.500 0.000 Hf
```

---

No. 2
Below is a relaxed Li3HfO4 crystal, with properties calculated at the PBE level.

Computed properties:
The value obtained for the total energy is -108.5 eV for the cell shown. The value obtained for the magnetic moment is 2.0 μB/cell.

Geometry as POSCAR:
```
Li3HfO4
1.0
-4.680 -2.111 0.135
2.389 -5.168 2.011
1.038 2.283 4.634
Hf Li O
2 6 8
Direct
0.000 0.854 0.250 Hf
0.000 0.146 0.750 Hf
0.500 0.139 0.250 Li
0.000 0.624 0.750 Li
0.500 0.595 0.250 Li
0.500 0.861 0.750 Li
0.000 0.376 0.250 Li
0.500 0.405 0.750 Li
0.752 0.626 0.008 O
0.248 0.374 0.992 O
0.765 0.887 0.502 O
0.248 0.626 0.492 O
0.235 0.113 0.498 O
0.752 0.374 0.508 O
0.235 0.887 0.998 O
0.765 0.113 0.002 O
```

---

No. 3
Below is a relaxed Li4HfOsO6 crystal, with properties calculated at the PBE level.

Computed properties:
The value obtained for the total energy is -83.6 eV for the cell shown. The value obtained for the magnetic moment is 2.0 μB/cell.

Geometry as POSCAR:
```
Li4HfOsO6
1.0
-2.592 -4.422 -0.022
-2.592 4.422 -0.022
1.718 0.000 -4.912
O Li Hf Os
6 4 1 1
Direct
0.589 0.927 0.228 O
0.073 0.411 0.772 O
0.426 0.076 0.763 O
0.247 0.251 0.257 O
0.749 0.753 0.743 O
0.924 0.574 0.237 O
0.345 0.655 0.500 Li
0.659 0.341 0.500 Li
0.501 0.499 0.000 Li
0.992 0.008 0.500 Li
0.156 0.844 0.000 Hf
0.840 0.160 0.000 Os
```

---

No. 4
Below is a relaxed LiHfPO crystal, with properties calculated at the PBE level.

Computed properties:
The value obtained for the energy above the most stable polymorph in this dataset is 0.73 eV/f.u. The value obtained for the magnetic moment is 0.0 μB/cell.

Geometry as POSCAR:
```
LiHfPO
1.0
-2.326 3.933 2.414
-3.977 -3.079 1.184
1.959 -1.110 3.696
Li O P Hf
2 2 2 2
Direct
0.500 0.000 0.003 Li
0.000 0.500 0.997 Li
0.500 0.500 0.000 O
0.000 0.000 0.000 O
0.500 0.000 0.503 P
0.000 0.500 0.497 P
0.500 0.500 0.500 Hf
0.000 0.000 0.500 Hf
```

---

No. 5
Below is a relaxed LiHfPO crystal, with properties calculated at the PBE level.

Computed properties:
The value obtained for the energy above the most stable polymorph in this dataset is 0.00 eV/f.u. The value obtained for the magnetic moment is 0.0 μB/cell.

Geometry as POSCAR:
```
LiHfPO
1.0
-3.349 -1.005 0.573
0.827 -3.307 -0.963
1.945 -1.868 8.088
Li P Hf O
2 2 2 2
Direct
0.000 0.000 0.500 Li
0.500 0.500 0.500 Li
0.000 0.500 0.700 P
0.500 0.000 0.300 P
0.000 0.500 0.145 Hf
0.500 0.000 0.855 Hf
0.000 0.000 0.000 O
0.500 0.500 0.000 O
```

---

No. 6
Below is a relaxed LiHfPO crystal, with properties calculated at the PBE level.

Computed properties:
The value obtained for the energy above the most stable polymorph in this dataset is 0.73 eV/f.u. The value obtained for the magnetic moment is 0.0 μB/cell.

Geometry as POSCAR:
```
LiHfPO
1.0
-4.292 2.806 -0.654
-0.158 0.941 5.080
2.404 3.543 -0.581
Hf O P Li
2 2 2 2
Direct
0.250 0.750 0.500 Hf
0.750 0.250 0.500 Hf
0.250 0.750 0.000 O
0.750 0.250 0.000 O
0.250 0.250 0.501 P
0.750 0.750 0.499 P
0.750 0.750 0.999 Li
0.250 0.250 0.001 Li
```

---

No. 7
Below is a relaxed LiHfPO crystal, with properties calculated at the PBE level.

Computed properties:
The value obtained for the energy above the most stable polymorph in this dataset is 0.15 eV/f.u. The value obtained for the magnetic moment is 0.0 μB/cell.

Geometry as POSCAR:
```
LiHfPO
1.0
-1.403 -1.967 3.273
4.465 1.344 2.721
-2.360 4.460 1.669
Li P O Hf
2 2 2 2
Direct
0.500 0.597 0.558 Li
0.500 0.403 0.058 Li
0.000 0.246 0.899 P
0.000 0.754 0.399 P
0.500 0.717 0.895 O
0.500 0.283 0.395 O
0.000 0.229 0.403 Hf
0.000 0.771 0.903 Hf
```

---

No. 8
Below is a relaxed LiHfPO crystal, with properties calculated at the PBE level.

Computed properties:
The value obtained for the energy above the most stable polymorph in this dataset is 0.00 eV/f.u. The value obtained for the magnetic moment is 0.0 μB/cell.

Geometry as POSCAR:
```
LiHfPO
1.0
3.497 0.000 0.000
0.000 6.122 0.000
0.000 0.000 6.093
Hf O Li P
2 2 2 2
Direct
0.500 0.479 0.110 Hf
0.500 0.521 0.610 Hf
0.500 0.726 0.872 O
0.500 0.274 0.372 O
0.000 0.875 0.923 Li
0.000 0.125 0.423 Li
0.000 0.717 0.348 P
0.000 0.283 0.848 P
```

---

No. 9
Below is a relaxed Li4HfPbO6 crystal, with properties calculated at the PBE level.

Computed properties:
The value obtained for the total energy is -76.0 eV for the cell shown. The value obtained for the magnetic moment is 0.0 μB/cell.

Geometry as POSCAR:
```
Li4HfPbO6
1.0
-2.091 3.112 3.870
2.079 2.255 -4.430
-4.452 -2.037 -2.026
O Pb Li Hf
6 1 4 1
Direct
0.244 0.231 0.245 O
0.405 0.071 0.760 O
0.929 0.595 0.240 O
0.567 0.917 0.243 O
0.083 0.433 0.757 O
0.769 0.756 0.755 O
0.833 0.167 0.000 Pb
0.347 0.653 0.500 Li
0.000 0.000 0.500 Li
0.655 0.345 0.500 Li
0.500 0.500 0.000 Li
0.168 0.832 0.000 Hf
```

---

No. 10
Below is a relaxed Li4HfPdO6 crystal, with properties calculated at the PBE level.

Computed properties:
The value obtained for the total energy is -76.8 eV for the cell shown. The value obtained for the magnetic moment is 0.0 μB/cell.

Geometry as POSCAR:
```
Li4HfPdO6
1.0
4.255 2.861 -0.665
0.385 -4.842 1.773
-1.133 -0.999 -4.957
Li O Pd Hf
4 6 1 1
Direct
0.651 0.349 0.500 Li
0.333 0.667 0.500 Li
0.499 0.501 0.000 Li
0.019 0.981 0.500 Li
0.925 0.584 0.238 O
0.416 0.075 0.762 O
0.239 0.234 0.243 O
0.079 0.428 0.759 O
0.572 0.921 0.241 O
0.766 0.761 0.757 O
0.167 0.833 0.000 Pd
0.834 0.166 0.000 Hf
```

---

No. 11
Below is a relaxed Li4HfSiO6 crystal, with properties calculated at the PBE level.

Computed properties:
The value obtained for the total energy is -83.6 eV for the cell shown. The value obtained for the magnetic moment is 0.0 μB/cell.

Geometry as POSCAR:
```
Li4HfSiO6
1.0
2.562 3.746 2.302
1.311 -1.523 -4.675
-4.231 2.481 -1.114
Li O Si Hf
4 6 1 1
Direct
0.670 0.330 0.500 Li
0.349 0.651 0.500 Li
0.501 0.499 0.000 Li
0.974 0.026 0.500 Li
0.606 0.946 0.218 O
0.465 0.084 0.775 O
0.916 0.535 0.225 O
0.054 0.394 0.782 O
0.769 0.802 0.774 O
0.198 0.231 0.226 O
0.833 0.167 0.000 Si
0.166 0.834 0.000 Hf
```

---

No. 12
Below is a relaxed Li4HfSnO6 crystal, with properties calculated at the PBE level.

Computed properties:
The value obtained for the total energy is -79.0 eV for the cell shown. The value obtained for the magnetic moment is 0.0 μB/cell.

Geometry as POSCAR:
```
Li4HfSnO6
1.0
-3.227 0.400 -4.189
3.607 -3.883 0.188
-3.377 -1.737 3.572
Li O Sn Hf
4 6 1 1
Direct
0.995 0.005 0.500 Li
0.347 0.653 0.500 Li
0.658 0.342 0.500 Li
0.500 0.500 0.000 Li
0.072 0.420 0.763 O
0.419 0.072 0.762 O
0.580 0.928 0.237 O
0.231 0.231 0.242 O
0.769 0.769 0.758 O
0.928 0.581 0.238 O
0.833 0.167 0.000 Sn
0.167 0.833 0.000 Hf
```

---

Question: What is the magnetic moment in the eighth record?
Answer: 0.0 μB/cell

---

Question: What is the magnetic moment in the fourth record?
Answer: 0.0 μB/cell